No. 1
A relaxed structure of Eu3CdCu. Source: the Alexandria database, functional GGA-PBE.

Computed properties:
As for the space group: Pm-3m (221). The calculation puts the formation energy at -0.0046 eV/atom. As for the density of states at the Fermi level: 2.766 states/eV per atom.

The structure in POSCAR format:
```
Eu3CdCu
1.0
5.6698 0.0000 0.0000
0.0000 5.6698 0.0000
0.0000 0.0000 5.6698
Eu Cd Cu
3 1 1
direct
0.0000 0.0000 0.5000
0.0000 0.5000 0.0000
0.5000 0.0000 0.0000
0.5000 0.5000 0.5000
0.0000 0.0000 0.0000
```

---

No. 2
A relaxed structure of Eu2CdCu. Source: the Alexandria database, functional GGA-PBE.

Computed properties:
As for the space group: P4/mmm (123). The calculation puts the formation energy at -0.2022 eV/atom. The excess energy over the best structure of this formula in the dataset comes out at 0 kJ/mol of formula units. As for the density of states at the Fermi level: 3.298 states/eV per atom.

The structure in POSCAR format:
```
Eu2CdCu
1.0
3.7394 0.0000 0.0000
0.0000 3.7394 0.0000
0.0000 0.0000 7.8074
Eu Cd Cu
2 1 1
direct
0.0000 0.0000 0.2275
0.0000 0.0000 0.7725
0.5000 0.5000 0.5000
0.5000 0.5000 0.0000
```

---

No. 3
A relaxed structure of EuCd3Cu. Source: the Alexandria database, functional GGA-PBE.

Computed properties:
As for the space group: Pm-3m (221). The calculation puts the formation energy at -0.0801 eV/atom. As for the density of states at the Fermi level: 2.673 states/eV per atom.

The structure in POSCAR format:
```
EuCd3Cu
1.0
5.0509 0.0000 0.0000
0.0000 5.0509 0.0000
0.0000 0.0000 5.0509
Eu Cd Cu
1 3 1
direct
0.0000 0.0000 0.0000
0.0000 0.5000 0.5000
0.5000 0.0000 0.5000
0.5000 0.5000 0.0000
0.5000 0.5000 0.5000
```

---

No. 4
A relaxed structure of EuCd2Cu. Source: the Alexandria database, functional GGA-PBE.

Computed properties:
As for the space group: R-3m (166). The calculation puts the formation energy at -0.1102 eV/atom. As for the density of states at the Fermi level: 2.541 states/eV per atom.

The structure in POSCAR format:
```
EuCd2Cu
1.0
2.3211 1.3401 5.3918
-2.3211 1.3401 5.3918
0.0000 -2.6802 5.3918
Eu Cd Cu
1 2 1
direct
0.0000 0.0000 0.0000
0.2092 0.2092 0.2092
0.7908 0.7908 0.7908
0.5000 0.5000 0.5000
```

---

No. 5
A relaxed structure of EuCdCu. Source: the Alexandria database, functional GGA-PBE.

Computed properties:
As for the space group: I4mm (107). The calculation puts the formation energy at -0.1198 eV/atom. As for the density of states at the Fermi level: 2.154 states/eV per atom.

The structure in POSCAR format:
```
EuCdCu
1.0
-1.7771 1.7771 5.5203
1.7771 -1.7771 5.5203
1.7771 1.7771 -5.5203
Eu Cd Cu
1 1 1
direct
0.0000 0.0000 0.0000
0.7063 0.7063 0.0000
0.3208 0.3208 0.0000
```

---

No. 6
A relaxed structure of Eu2CdCu. Source: the Alexandria database, functional GGA-PBE.

Computed properties:
As for the space group: R-3m (166). The calculation puts the formation energy at 0.1616 eV/atom. The excess energy over the best structure of this formula in the dataset comes out at 140 kJ/mol of formula units. As for the density of states at the Fermi level: 4.813 states/eV per atom.

The structure in POSCAR format:
```
Eu2CdCu
1.0
2.0302 1.1721 10.3616
-2.0302 1.1721 10.3616
0.0000 -2.3442 10.3616
Eu Cd Cu
2 1 1
direct
0.1101 0.1101 0.1101
0.8899 0.8899 0.8899
0.0000 0.0000 0.0000
0.5000 0.5000 0.5000
```

---

No. 7
A relaxed structure of EuCdCu. Source: the Alexandria database, functional GGA-PBE.

Computed properties:
As for the space group: F-43m (216). The calculation puts the formation energy at -0.0961 eV/atom. As for the density of states at the Fermi level: 2.785 states/eV per atom.

The structure in POSCAR format:
```
EuCdCu
1.0
0.0000 3.4076 3.4076
3.4076 0.0000 3.4076
3.4076 3.4076 0.0000
Eu Cd Cu
1 1 1
direct
0.0000 0.0000 0.0000
0.5000 0.5000 0.5000
0.2500 0.2500 0.2500
```

---

No. 8
A relaxed structure of EuCd2Cu. Source: the Alexandria database, functional GGA-PBE.

Computed properties:
As for the space group: P4/mmm (123). The calculation puts the formation energy at -0.0978 eV/atom. As for the density of states at the Fermi level: 0.525 states/eV per atom.

The structure in POSCAR format:
```
EuCd2Cu
1.0
3.3984 0.0000 0.0000
0.0000 3.3984 0.0000
0.0000 0.0000 7.8386
Eu Cd Cu
1 2 1
direct
0.0000 0.0000 0.0000
0.5000 0.5000 0.3076
0.5000 0.5000 0.6924
0.0000 0.0000 0.5000
```

---

No. 9
A relaxed structure of Eu2CdCu. Source: the Alexandria database, functional GGA-PBE.

Computed properties:
As for the space group: Fm-3m (225). The calculation puts the formation energy at -0.1665 eV/atom. The excess energy over the best structure of this formula in the dataset comes out at 14 kJ/mol of formula units. As for the density of states at the Fermi level: 3.404 states/eV per atom.

The structure in POSCAR format:
```
Eu2CdCu
1.0
0.0000 3.8074 3.8074
3.8074 0.0000 3.8074
3.8074 3.8074 0.0000
Eu Cd Cu
2 1 1
direct
0.2500 0.2500 0.2500
0.7500 0.7500 0.7500
0.0000 0.0000 0.0000
0.5000 0.5000 0.5000
```

---

No. 10
A relaxed structure of EuCdCuGe. Source: the Alexandria database, functional GGA-PBE.

Computed properties:
As for the space group: F-43m (216). The calculation puts the formation energy at -0.1951 eV/atom. As for the density of states at the Fermi level: 0.739 states/eV per atom.

The structure in POSCAR format:
```
EuCdCuGe
1.0
0.0000 3.4703 3.4703
3.4703 0.0000 3.4703
3.4703 3.4703 0.0000
Eu Cd Cu Ge
1 1 1 1
direct
0.0000 0.0000 0.0000
0.5000 0.5000 0.5000
0.2500 0.2500 0.2500
0.7500 0.7500 0.7500
```

---

No. 11
A relaxed structure of EuCdCuHg. Source: the Alexandria database, functional GGA-PBE.

Computed properties:
As for the space group: F-43m (216). The calculation puts the formation energy at -0.1780 eV/atom. As for the density of states at the Fermi level: 2.346 states/eV per atom.

The structure in POSCAR format:
```
EuCdCuHg
1.0
0.0000 3.5914 3.5914
3.5914 0.0000 3.5914
3.5914 3.5914 0.0000
Eu Cd Cu Hg
1 1 1 1
direct
0.0000 0.0000 0.0000
0.5000 0.5000 0.5000
0.2500 0.2500 0.2500
0.7500 0.7500 0.7500
```

---

No. 12
A relaxed structure of EuLuCdCu. Source: the Alexandria database, functional GGA-PBE.

Computed properties:
As for the space group: F-43m (216). The calculation puts the formation energy at -0.1599 eV/atom. As for the density of states at the Fermi level: 0.990 states/eV per atom.

The structure in POSCAR format:
```
EuLuCdCu
1.0
0.0000 3.6623 3.6623
3.6623 0.0000 3.6623
3.6623 3.6623 0.0000
Eu Lu Cd Cu
1 1 1 1
direct
0.0000 0.0000 0.0000
0.5000 0.5000 0.5000
0.2500 0.2500 0.2500
0.7500 0.7500 0.7500
```